This record from Alexandria describes crystalline TiFeCuF2 at its relaxed geometry. The functional is PBE+U.

- final energy (eV per cell) = -24.9
- mass density (g cm⁻³) = 3.884

abc: 3.8661 5.8715 3.8661
angles: 90.00 90.00 90.00
Positions (direct):
Ti (0.5000, 0.5000, 0.5000)
Cu (0.0000, 0.5000, 0.0000)
F (0.5000, 0.0000, 0.0000)
Fe (0.0000, 0.0000, 0.0000)
F (0.0000, 0.0000, 0.5000)